Entry 1:
Density functional theory data (meta-GGA SCAN) for a PBEsol-optimized structure of GeBP3.

Unit cell a=4.622 b=4.622 c=4.622 alpha=90.00 beta=90.00 gamma=90.00
Fractional positions:
B1 0.500 0.500 0.500
Ge1 0.000 0.000 0.000
P1 0.500 0.000 0.000
P2 0.000 0.000 0.500
P3 0.000 0.500 0.000

## Properties
Formation energy ... 1951 meV per atom
Uncorrected energy ... -9.591 eV per atom
SG ... Pm-3m (221)



Entry 2:
Density functional theory data (meta-GGA SCAN) for a PBEsol-optimized structure of YTl2P.

Unit cell a=3.826 b=3.813 c=7.122 alpha=90.00 beta=93.90 gamma=90.00
Fractional positions:
Tl1 0.923 0.000 0.012
P1 0.554 0.500 0.650
Y1 0.045 0.000 0.579
Tl2 0.478 0.500 0.260

## Properties
Formation energy ... -623 meV per atom
Relative energy among the computed polymorphs ... 0.000 eV per atom
Uncorrected energy ... -46.362 eV per atom
SG ... Pm (6)



Entry 3:
Density functional theory data (meta-GGA SCAN) for a PBEsol-optimized structure of AgBi2Te2.

Unit cell a=4.306 b=8.244 c=8.244 alpha=90.00 beta=90.00 gamma=90.00
Fractional positions:
Ag1 0.000 0.500 0.500
Bi1 0.000 0.669 0.169
Bi2 0.000 0.169 0.331
Bi3 0.000 0.331 0.831
Te1 0.500 0.350 0.150
Ag2 0.000 0.000 0.000
Te2 0.500 0.650 0.850
Te3 0.500 0.150 0.650
Bi4 0.000 0.831 0.669
Te4 0.500 0.850 0.350

## Properties
Uncorrected energy ... -52.409 eV per atom
SG ... P4/mbm (127)



Look up the uncorrected energy of the third one.
-52.409 eV per atom



Among the records above, which one has the highest uncorrected energy?
GeBP3